No. 1
This record from Alexandria via LeMat-Bulk describes crystalline LaPm2I8 at its relaxed geometry. The functional is PBE.

The energy relative to the elements, uncorrected is -1.272 eV/atom.

The structure belongs to space group C2/m (No. 12); the cell edges are 20.328, 8.878 and 7.466 Å and the angles 90.00°, 97.60° and 90.00°. Symmetry generates all atoms from La at (0.000, 0.000, 0.000), Pm at (0.145, 0.000, 0.425), I at (0.060, 0.261, 0.271), I at (0.139, 0.000, 0.831) and I at (0.218, 0.500, 0.646).

No. 2
This record from Alexandria via LeMat-Bulk describes crystalline Mg4Zn5 at its relaxed geometry. The functional is PBE.

The calculation puts the formation energy at -0.007 eV/atom. For the polymorph energy (0 for the lowest one), the calculation gives 35 kJ/mol of formula units.

The structure belongs to space group P6_3/mcm (No. 193); the cell edges are 8.1348, 8.1348 and 5.6637 Å and the angles 90.00°, 90.00° and 120.00°. Symmetry generates all atoms from Mg at (0.0000, 0.0000, 0.0000), Mg at (0.0000, 0.3575, 0.2500), Zn at (0.0000, 0.3121, 0.7500) and Zn at (0.3333, 0.6667, 0.0000).

No. 3
This record from Alexandria via LeMat-Bulk describes crystalline NaCuHg2Te at its relaxed geometry. The functional is PBE.

The energy relative to the elements, uncorrected is -0.129 eV/atom. For the polymorph energy (0 for the lowest one), the calculation gives 0 kJ/mol of formula units.

The structure belongs to space group P4/mmm (No. 123); the cell edges are 5.144, 5.144 and 5.450 Å and the angles 90.00°, 90.00° and 90.00°. Symmetry generates all atoms from Na at (0.000, 0.000, 0.000), Cu at (0.500, 0.500, 0.500), Hg at (0.000, 0.500, 0.500) and Te at (0.500, 0.500, 0.000).

No. 4
This record from Alexandria via LeMat-Bulk describes crystalline PuCu2Br5 at its relaxed geometry. The functional is PBE.

The energy relative to the elements, uncorrected is -0.836 eV/atom.

The structure belongs to space group P1 (No. 1); the cell edges are 5.935, 6.950 and 7.100 Å and the angles 78.95°, 67.74° and 65.26°. Symmetry generates all atoms from Pu at (0.000, 0.000, 0.000), Cu at (0.719, 0.552, 0.499), Cu at (0.769, 0.549, 0.106), Br at (0.102, 0.593, 0.214), Br at (0.283, 0.811, 0.617), Br at (0.516, 0.939, 0.030), Br at (0.695, 0.252, 0.358) and Br at (0.926, 0.399, 0.772).

No. 5
This record from Alexandria via LeMat-Bulk describes crystalline LiPmNdPb at its relaxed geometry. The functional is PBE.

The calculation puts the formation energy at -0.323 eV/atom.

The structure belongs to space group F-43m (No. 216); the cell edges are 7.683, 7.683 and 7.683 Å and the angles 90.00°, 90.00° and 90.00°. Symmetry generates all atoms from Li at (0.000, 0.000, 0.000), Pm at (0.250, 0.250, 0.750), Nd at (0.250, 0.250, 0.250) and Pb at (0.000, 0.000, 0.500).

No. 6
This record from Alexandria via LeMat-Bulk describes crystalline CaCe2 at its relaxed geometry. The functional is PBE.

The calculation puts the formation energy at 0.287 eV/atom. For the polymorph energy (0 for the lowest one), the calculation gives 25 kJ/mol of formula units.

The structure belongs to space group Fd-3m (No. 227, origin choice 2); the cell edges are 9.261, 9.261 and 9.261 Å and the angles 90.00°, 90.00° and 90.00°. Symmetry generates all atoms from Ca at (0.125, 0.125, 0.125) and Ce at (0.000, 0.000, 0.500).